Entry 1:
This record from Alexandria via LeMat-Bulk describes a geometry-optimized MnCo4Br structure. The functional is PBE.

Structure (CIF):
```
data_MnCo4Br
_chemical_formula_sum 'Mn4 Co16 Br4'
_cell_length_a 6.883
_cell_length_b 6.883
_cell_length_c 6.883
_cell_angle_alpha 90.00
_cell_angle_beta 90.00
_cell_angle_gamma 90.00
_space_group_name_H-M_alt 'F -4 3 m'
_space_group_IT_number 216
_space_group_name_Hall 'F -4 2 3'
loop_
_atom_site_label
_atom_site_type_symbol
_atom_site_fract_x
_atom_site_fract_y
_atom_site_fract_z
_atom_site_occupancy
Mn1 Mn 0.000 0.000 0.000 1
Co1 Co 0.126 0.126 0.374 1
Br1 Br 0.250 0.250 0.750 1
```

Results
raw formation energy = 0.5777 eV/atom
total moment = 10.65 μB per formula unit



Entry 2:
This record from Alexandria via LeMat-Bulk describes a geometry-optimized MnCo2Br structure. The functional is PBE.

Structure (CIF):
```
data_MnCo2Br
_chemical_formula_sum 'Mn1 Co2 Br1'
_cell_length_a 3.6996
_cell_length_b 3.6996
_cell_length_c 6.1370
_cell_angle_alpha 90.00
_cell_angle_beta 90.00
_cell_angle_gamma 120.00
_space_group_name_H-M_alt 'P 3 m 1'
_space_group_IT_number 156
loop_
_space_group_symop_operation_xyz
'x,y,z'
'-y,x-y,z'
'-x+y,-x,z'
'-y,-x,z'
'-x+y,y,z'
'x,x-y,z'
loop_
_atom_site_label
_atom_site_type_symbol
_atom_site_fract_x
_atom_site_fract_y
_atom_site_fract_z
_atom_site_occupancy
Mn1 Mn 0.0000 0.0000 0.0000 1
Co1 Co 0.3333 0.6667 0.3183 1
Co2 Co 0.6667 0.3333 0.2270 1
Br1 Br 0.3333 0.6667 0.7152 1
```

Results
raw formation energy = 0.3413 eV/atom
total moment = 7.62 μB per formula unit
distance to the lowest polymorph of the same formula = 0 meV per atom



Entry 3:
This record from Alexandria via LeMat-Bulk describes a geometry-optimized MnCoBr2 structure. The functional is PBE.

Structure (CIF):
```
data_MnCoBr2
_chemical_formula_sum 'Mn2 Co2 Br4'
_cell_length_a 6.831
_cell_length_b 7.339
_cell_length_c 4.989
_cell_angle_alpha 90.00
_cell_angle_beta 132.70
_cell_angle_gamma 90.00
_space_group_name_H-M_alt 'C 1 2/m 1'
_space_group_IT_number 12
loop_
_space_group_symop_operation_xyz
'x,y,z'
'-x,-y,-z'
'-x,y,-z'
'x,-y,z'
'x+1/2,y+1/2,z'
'-x+1/2,-y+1/2,-z'
'-x+1/2,y+1/2,-z'
'x+1/2,-y+1/2,z'
loop_
_atom_site_label
_atom_site_type_symbol
_atom_site_fract_x
_atom_site_fract_y
_atom_site_fract_z
_atom_site_occupancy
Mn1 Mn 0.000 0.000 0.000 1
Co1 Co 0.000 0.500 0.000 1
Br1 Br 0.250 0.250 0.500 1
```

Results
raw formation energy = 0.3897 eV/atom
total moment = 6.27 μB per formula unit
distance to the lowest polymorph of the same formula = 475 meV per atom



Entry 4:
This record from Alexandria via LeMat-Bulk describes a geometry-optimized MnCo2Br structure. The functional is PBE.

Structure (CIF):
```
data_MnCo2Br
_chemical_formula_sum 'Mn1 Co2 Br1'
_cell_length_a 3.128
_cell_length_b 3.070
_cell_length_c 6.714
_cell_angle_alpha 90.00
_cell_angle_beta 102.74
_cell_angle_gamma 90.00
_space_group_name_H-M_alt 'P 1 m 1'
_space_group_IT_number 6
loop_
_space_group_symop_operation_xyz
'x,y,z'
'x,-y,z'
loop_
_atom_site_label
_atom_site_type_symbol
_atom_site_fract_x
_atom_site_fract_y
_atom_site_fract_z
_atom_site_occupancy
Mn1 Mn 0.000 0.000 0.000 1
Co1 Co 0.184 0.000 0.388 1
Co2 Co 0.607 0.500 0.225 1
Br1 Br 0.350 0.500 0.717 1
```

Results
raw formation energy = 0.3420 eV/atom
total moment = 7.58 μB per formula unit
distance to the lowest polymorph of the same formula = 1 meV per atom



Entry 5:
This record from Alexandria via LeMat-Bulk describes a geometry-optimized MnCoBr2 structure. The functional is PBE.

Structure (CIF):
```
data_MnCoBr2
_chemical_formula_sum 'Mn2 Co2 Br4'
_cell_length_a 3.694
_cell_length_b 3.694
_cell_length_c 12.101
_cell_angle_alpha 90.00
_cell_angle_beta 90.00
_cell_angle_gamma 90.00
_space_group_name_H-M_alt 'I -4 m 2'
_space_group_IT_number 119
_space_group_name_Hall 'I -4 -2'
loop_
_atom_site_label
_atom_site_type_symbol
_atom_site_fract_x
_atom_site_fract_y
_atom_site_fract_z
_atom_site_occupancy
Mn1 Mn 0.000 0.000 0.000 1
Co1 Co 0.000 0.500 0.250 1
Br1 Br 0.000 0.000 0.500 1
Br2 Br 0.000 0.500 0.750 1
```

Results
raw formation energy = 0.4223 eV/atom
total moment = 6.10 μB per formula unit
distance to the lowest polymorph of the same formula = 507 meV per atom



Entry 6:
This record from Alexandria via LeMat-Bulk describes a geometry-optimized MnCoBr2 structure. The functional is PBE.

Structure (CIF):
```
data_MnCoBr2
_chemical_formula_sum 'Mn1 Co1 Br2'
_cell_length_a 3.702
_cell_length_b 3.702
_cell_length_c 7.235
_cell_angle_alpha 90.00
_cell_angle_beta 90.00
_cell_angle_gamma 90.00
_space_group_name_H-M_alt 'P -4 m 2'
_space_group_IT_number 115
loop_
_space_group_symop_operation_xyz
'x,y,z'
'y,-x,-z'
'-x,-y,z'
'-y,x,-z'
'-x,y,z'
'-y,-x,-z'
'x,-y,z'
'y,x,-z'
loop_
_atom_site_label
_atom_site_type_symbol
_atom_site_fract_x
_atom_site_fract_y
_atom_site_fract_z
_atom_site_occupancy
Mn1 Mn 0.000 0.000 0.000 1
Co1 Co 0.500 0.500 0.000 1
Br1 Br 0.000 0.500 0.753 1
```

Results
raw formation energy = -0.0599 eV/atom
total moment = 6.00 μB per formula unit
distance to the lowest polymorph of the same formula = 25 meV per atom